[1]
# meta-GGA SCAN BaInH3, PBEsol geometry
data_BaInH3
_chemical_formula_sum 'Ba1 In1 H3'
_cell_length_a 4.8717
_cell_length_b 4.8717
_cell_length_c 4.8717
_cell_angle_alpha 90.00
_cell_angle_beta 90.00
_cell_angle_gamma 90.00
_symmetry_space_group_name_H-M 'P 1'
_symmetry_Int_Tables_number 1
loop_
_symmetry_equiv_pos_as_xyz
'x,y,z'
loop_
_atom_site_label
_atom_site_fract_x
_atom_site_fract_y
_atom_site_fract_z
_atom_site_occupancy
Ba1 0.0000 0.0000 0.0000 1
In1 0.5000 0.5000 0.5000 1
H1 0.0000 0.0000 0.5000 1
H2 0.0000 0.5000 0.0000 1
H3 0.5000 0.0000 0.0000 1
# N(E_F) in states/eV per atom: 0.005
# Uncorrected energy in eV per atom: -16.475
# SG: No. 221

=====

[2]
# meta-GGA SCAN TaTl2Sb, PBEsol geometry
data_TaTl2Sb
_chemical_formula_sum 'Ta1 Tl2 Sb1'
_cell_length_a 3.4823
_cell_length_b 3.4823
_cell_length_c 8.0448
_cell_angle_alpha 90.00
_cell_angle_beta 90.00
_cell_angle_gamma 90.00
_symmetry_space_group_name_H-M 'P 1'
_symmetry_Int_Tables_number 1
loop_
_symmetry_equiv_pos_as_xyz
'x,y,z'
loop_
_atom_site_label
_atom_site_fract_x
_atom_site_fract_y
_atom_site_fract_z
_atom_site_occupancy
Ta1 0.0000 0.0000 0.0000 1
Tl1 0.0000 0.0000 0.5404 1
Tl2 0.5000 0.5000 0.2369 1
Sb1 0.5000 0.5000 0.8329 1
# N(E_F) in states/eV per atom: 0.627
# Formation energy from raw total energies in meV per atom: 326
# SG: No. 99

=====

[3]
# meta-GGA SCAN LaCoH3, PBEsol geometry
data_LaCoH3
_chemical_formula_sum 'La1 Co1 H3'
_cell_length_a 3.6106
_cell_length_b 3.6106
_cell_length_c 3.6106
_cell_angle_alpha 90.00
_cell_angle_beta 90.00
_cell_angle_gamma 90.00
_symmetry_space_group_name_H-M 'P 1'
_symmetry_Int_Tables_number 1
loop_
_symmetry_equiv_pos_as_xyz
'x,y,z'
loop_
_atom_site_label
_atom_site_fract_x
_atom_site_fract_y
_atom_site_fract_z
_atom_site_occupancy
La1 0.0000 0.0000 0.0000 1
Co1 0.5000 0.5000 0.5000 1
H1 0.0000 0.5000 0.5000 1
H2 0.5000 0.0000 0.5000 1
H3 0.5000 0.5000 0.0000 1
# N(E_F) in states/eV per atom: 0.294
# Uncorrected energy in eV per atom: -14.525
# SG: No. 221

=====

[4]
# meta-GGA SCAN Zr2CrTe, PBEsol geometry
data_Zr2CrTe
_chemical_formula_sum 'Zr2 Cr1 Te1'
_cell_length_a 5.2461
_cell_length_b 5.2461
_cell_length_c 5.2461
_cell_angle_alpha 132.22
_cell_angle_beta 132.22
_cell_angle_gamma 69.88
_symmetry_space_group_name_H-M 'P 1'
_symmetry_Int_Tables_number 1
loop_
_symmetry_equiv_pos_as_xyz
'x,y,z'
loop_
_atom_site_label
_atom_site_fract_x
_atom_site_fract_y
_atom_site_fract_z
_atom_site_occupancy
Zr1 0.2500 0.7500 0.5000 1
Zr2 0.7500 0.2500 0.5000 1
Cr1 0.0000 0.0000 0.0000 1
Te1 0.5000 0.5000 0.0000 1
# N(E_F) in states/eV per atom: 0.769
# Formation energy from raw total energies in meV per atom: -220
# SG: No. 139

=====

[5]
# meta-GGA SCAN CaScPb2, PBEsol geometry
data_CaScPb2
_chemical_formula_sum 'Ca1 Sc1 Pb2'
_cell_length_a 5.5480
_cell_length_b 5.5480
_cell_length_c 3.4311
_cell_angle_alpha 90.00
_cell_angle_beta 90.00
_cell_angle_gamma 102.36
_symmetry_space_group_name_H-M 'P 1'
_symmetry_Int_Tables_number 1
loop_
_symmetry_equiv_pos_as_xyz
'x,y,z'
loop_
_atom_site_label
_atom_site_fract_x
_atom_site_fract_y
_atom_site_fract_z
_atom_site_occupancy
Ca1 0.0000 0.0000 0.0000 1
Sc1 0.5000 0.5000 0.0000 1
Pb1 0.0000 0.5000 0.5000 1
Pb2 0.5000 0.0000 0.5000 1
# N(E_F) in states/eV per atom: 0.476
# E_form in eV/atom: -0.578
# SG: No. 65

=====

[6]
# meta-GGA SCAN SiAs2Os, PBEsol geometry
data_SiAs2Os
_chemical_formula_sum 'Si2 As4 Os2'
_cell_length_a 6.5596
_cell_length_b 6.5596
_cell_length_c 6.5596
_cell_angle_alpha 129.25
_cell_angle_beta 129.25
_cell_angle_gamma 74.61
_symmetry_space_group_name_H-M 'P 1'
_symmetry_Int_Tables_number 1
loop_
_symmetry_equiv_pos_as_xyz
'x,y,z'
loop_
_atom_site_label
_atom_site_fract_x
_atom_site_fract_y
_atom_site_fract_z
_atom_site_occupancy
Si1 0.0000 0.0000 0.0000 1
Si2 0.7500 0.2500 0.5000 1
As1 0.1286 0.6250 0.0036 1
As2 0.3750 0.3786 0.5036 1
As3 0.6214 0.1250 0.9964 1
As4 0.8750 0.8714 0.4964 1
Os1 0.2500 0.7500 0.5000 1
Os2 0.5000 0.5000 0.0000 1
# N(E_F) in states/eV per atom: 0.343
# Formation energy from raw total energies in meV per atom: 274
# SG: No. 122

=====

[7]
# meta-GGA SCAN Ti5Nb2O14, PBEsol geometry
data_Ti5Nb2O14
_chemical_formula_sum 'Ti10 Nb4 O28'
_cell_length_a 4.6802
_cell_length_b 4.6802
_cell_length_c 20.8307
_cell_angle_alpha 90.00
_cell_angle_beta 90.00
_cell_angle_gamma 90.52
_symmetry_space_group_name_H-M 'P 1'
_symmetry_Int_Tables_number 1
loop_
_symmetry_equiv_pos_as_xyz
'x,y,z'
loop_
_atom_site_label
_atom_site_fract_x
_atom_site_fract_y
_atom_site_fract_z
_atom_site_occupancy
Ti1 0.0000 0.0000 0.0000 1
Ti2 0.0000 0.0000 0.1457 1
Ti3 0.0000 0.0000 0.2849 1
Ti4 0.0000 0.0000 0.4304 1
Ti5 0.0000 0.0000 0.5696 1
Ti6 0.0000 0.0000 0.7151 1
Ti7 0.0000 0.0000 0.8543 1
Ti8 0.5000 0.5000 0.2152 1
Ti9 0.5000 0.5000 0.5000 1
Ti10 0.5000 0.5000 0.7848 1
Nb1 0.5000 0.5000 0.0735 1
Nb2 0.5000 0.5000 0.3575 1
Nb3 0.5000 0.5000 0.6425 1
Nb4 0.5000 0.5000 0.9265 1
O1 0.1932 0.1932 0.3574 1
O2 0.1932 0.1932 0.6426 1
O3 0.1936 0.1936 0.0716 1
O4 0.1936 0.1936 0.9284 1
O5 0.1959 0.1959 0.2147 1
O6 0.1959 0.1959 0.5000 1
O7 0.1959 0.1959 0.7853 1
O8 0.2967 0.7033 0.0000 1
O9 0.2998 0.7002 0.1448 1
O10 0.3004 0.6996 0.2850 1
O11 0.3004 0.6996 0.7150 1
O12 0.2998 0.7002 0.8552 1
O13 0.3006 0.6994 0.4299 1
O14 0.3006 0.6994 0.5701 1
O15 0.6994 0.3006 0.4299 1
O16 0.6994 0.3006 0.5701 1
O17 0.7002 0.2998 0.1448 1
O18 0.6996 0.3004 0.2850 1
O19 0.6996 0.3004 0.7150 1
O20 0.7002 0.2998 0.8552 1
O21 0.7033 0.2967 0.0000 1
O22 0.8041 0.8041 0.2147 1
O23 0.8041 0.8041 0.5000 1
O24 0.8041 0.8041 0.7853 1
O25 0.8064 0.8064 0.0716 1
O26 0.8064 0.8064 0.9284 1
O27 0.8068 0.8068 0.3574 1
O28 0.8068 0.8068 0.6426 1
# N(E_F) in states/eV per atom: 0.374
# Formation energy from raw total energies in meV per atom: -3115
# SG: No. 65

=====

[8]
# meta-GGA SCAN MgSc2Ta, PBEsol geometry
data_MgSc2Ta
_chemical_formula_sum 'Mg1 Sc2 Ta1'
_cell_length_a 11.1527
_cell_length_b 11.1527
_cell_length_c 11.1527
_cell_angle_alpha 15.39
_cell_angle_beta 15.39
_cell_angle_gamma 15.39
_symmetry_space_group_name_H-M 'P 1'
_symmetry_Int_Tables_number 1
loop_
_symmetry_equiv_pos_as_xyz
'x,y,z'
loop_
_atom_site_label
_atom_site_fract_x
_atom_site_fract_y
_atom_site_fract_z
_atom_site_occupancy
Mg1 0.0000 0.0000 0.0000 1
Sc1 0.4152 0.4152 0.4152 1
Sc2 0.5848 0.5848 0.5848 1
Ta1 0.5000 0.5000 0.5000 1
# N(E_F) in states/eV per atom: 0.978
# E_form in eV/atom: 0.453
# SG: No. 166

=====

[9]
# meta-GGA SCAN InSI2N, PBEsol geometry
data_InSI2N
_chemical_formula_sum 'In1 S1 I2 N1'
_cell_length_a 6.2412
_cell_length_b 6.2412
_cell_length_c 3.3751
_cell_angle_alpha 90.00
_cell_angle_beta 90.00
_cell_angle_gamma 90.00
_symmetry_space_group_name_H-M 'P 1'
_symmetry_Int_Tables_number 1
loop_
_symmetry_equiv_pos_as_xyz
'x,y,z'
loop_
_atom_site_label
_atom_site_fract_x
_atom_site_fract_y
_atom_site_fract_z
_atom_site_occupancy
In1 0.0000 0.0000 0.0000 1
S1 0.5000 0.5000 0.5000 1
I1 0.0000 0.5000 0.5000 1
I2 0.5000 0.0000 0.5000 1
N1 0.5000 0.5000 0.0000 1
# N(E_F) in states/eV per atom: 0.429
# Formation energy from raw total energies in meV per atom: 586
# SG: No. 123

=====

[10]
# meta-GGA SCAN CaSiSb2, PBEsol geometry
data_CaSiSb2
_chemical_formula_sum 'Ca1 Si1 Sb2'
_cell_length_a 3.9699
_cell_length_b 3.9699
_cell_length_c 6.1726
_cell_angle_alpha 90.00
_cell_angle_beta 90.00
_cell_angle_gamma 90.00
_symmetry_space_group_name_H-M 'P 1'
_symmetry_Int_Tables_number 1
loop_
_symmetry_equiv_pos_as_xyz
'x,y,z'
loop_
_atom_site_label
_atom_site_fract_x
_atom_site_fract_y
_atom_site_fract_z
_atom_site_occupancy
Ca1 0.0000 0.0000 0.0000 1
Si1 0.0000 0.0000 0.5000 1
Sb1 0.5000 0.5000 0.2692 1
Sb2 0.5000 0.5000 0.7308 1
# N(E_F) in states/eV per atom: 0.461
# Formation energy from raw total energies in meV per atom: -91
# SG: No. 123

=====

[11]
# meta-GGA SCAN Mg2HS2, PBEsol geometry
data_Mg2HS2
_chemical_formula_sum 'Mg2 H1 S2'
_cell_length_a 6.5997
_cell_length_b 6.5997
_cell_length_c 6.5997
_cell_angle_alpha 139.57
_cell_angle_beta 139.57
_cell_angle_gamma 58.51
_symmetry_space_group_name_H-M 'P 1'
_symmetry_Int_Tables_number 1
loop_
_symmetry_equiv_pos_as_xyz
'x,y,z'
loop_
_atom_site_label
_atom_site_fract_x
_atom_site_fract_y
_atom_site_fract_z
_atom_site_occupancy
Mg1 0.1554 0.1554 0.0000 1
Mg2 0.8446 0.8446 0.0000 1
H1 0.0000 0.0000 0.0000 1
S1 0.2500 0.7500 0.5000 1
S2 0.7500 0.2500 0.5000 1
# N(E_F) in states/eV per atom: 0.440
# Uncorrected energy in eV per atom: -7.282
# SG: No. 139

=====

[12]
# meta-GGA SCAN Zr3Al, PBEsol geometry
data_Zr3Al
_chemical_formula_sum 'Zr3 Al1'
_cell_length_a 3.1002
_cell_length_b 3.1002
_cell_length_c 8.5936
_cell_angle_alpha 90.00
_cell_angle_beta 90.00
_cell_angle_gamma 90.00
_symmetry_space_group_name_H-M 'P 1'
_symmetry_Int_Tables_number 1
loop_
_symmetry_equiv_pos_as_xyz
'x,y,z'
loop_
_atom_site_label
_atom_site_fract_x
_atom_site_fract_y
_atom_site_fract_z
_atom_site_occupancy
Zr1 0.0000 0.0000 0.0000 1
Zr2 0.5000 0.5000 0.2673 1
Zr3 0.5000 0.5000 0.7327 1
Al1 0.0000 0.0000 0.5000 1
# N(E_F) in states/eV per atom: 1.059
# E_form in eV/atom: -0.196
# SG: No. 123

=====

no.,spin magnetization (μB/f.u.)
1,0.00
2,0.00
3,0.39
4,3.77
5,0.41
6,0.00
7,1.68
8,2.40
9,0.00
10,0.00
11,0.00
12,0.00